Entry 1:
This record from Alexandria via LeMat-Bulk describes an optimized crystal structure of Pm3GaPd4. The functional is PBE.

Cell lengths 4.099, 6.505, 8.116 Å; angles 113.62, 104.63, 90.00 degrees
Element x y z (fractional)
Ga: 0.500 0.000 0.000
Pd: 0.619 0.829 0.237
Pd: 0.619 0.408 0.237
Pd: 0.381 0.592 0.763
Pd: 0.381 0.171 0.763
Pm: 0.810 0.810 0.620
Pm: 0.190 0.190 0.380
Pm: 0.000 0.500 0.000

---

Entry 2:
This record from Alexandria via LeMat-Bulk describes an optimized crystal structure of PmGa4Pd8. The functional is PBE.

Cell lengths 5.377, 6.838, 6.838 Å; angles 81.11, 66.85, 66.85 degrees
Element x y z (fractional)
Pd: 0.500 0.777 0.223
Pd: 0.338 0.662 0.662
Pd: 0.000 0.662 0.338
Pd: 0.723 0.777 0.777
Pd: 0.000 0.338 0.662
Pd: 0.662 0.338 0.338
Pd: 0.277 0.223 0.223
Pd: 0.500 0.223 0.777
Ga: 0.000 0.500 0.000
Ga: 0.000 0.000 0.500
Ga: 0.500 0.000 0.500
Ga: 0.500 0.500 0.000
Pm: 0.000 0.000 0.000

---

Quick rundown of energy relative to the elements, same order as above: -695 -660 meV/atom